Density functional theory data (SCAN) for a crystal of TiCrF3 relaxed with PBEsol.

a = 4.077 Å, b = 4.077 Å, c = 4.077 Å
α = 90.00°, β = 90.00°, γ = 90.00°
Atoms (fractional coordinates):
Ti 0.000 0.000 0.000
Cr 0.500 0.500 0.500
F 0.000 0.000 0.500
F 0.000 0.500 0.000
F 0.500 0.000 0.000

**Space group**: Pm-3m, No. 221
**Magnetic moment**: 1.3936 μB/atom
**Uncorrected formation energy**: -2.20 eV per atom
**Fermi-level density of states**: 4.87 states/eV per cell